1.
# PBE LiLaReTc, relaxed
# **Symmetry**: F-43m
# **Theoretical density**: 10059 kg/m3
# **Raw total energy**: -6.942 eV per atom
# **Excess energy over the best structure of this formula in the dataset**: 23.4 meV/atom
data_LiLaReTc
_chemical_formula_sum 'Li1 La1 Re1 Tc1'
_cell_length_a 4.648
_cell_length_b 4.648
_cell_length_c 4.648
_cell_angle_alpha 60.00
_cell_angle_beta 60.00
_cell_angle_gamma 60.00
_space_group_name_H-M_alt 'P 1'
_space_group_IT_number 1
loop_
_space_group_symop_operation_xyz
'x,y,z'
loop_
_atom_site_label
_atom_site_type_symbol
_atom_site_fract_x
_atom_site_fract_y
_atom_site_fract_z
Li1 Li 0.750 0.750 0.750
Tc1 Tc 0.250 0.250 0.250
La1 La 0.000 0.000 0.000
Re1 Re 0.500 0.500 0.500

=====

2.
# PBE LaSmNp, relaxed
# **DFT formation energy**: 1.074 eV per atom
# **Symmetry**: F-43m
# **Theoretical density**: 8206 kg/m3
# **Raw total energy**: -6.393 eV per atom
# **Excess energy over the best structure of this formula in the dataset**: 0.0 meV/atom
data_LaSmNp
_chemical_formula_sum 'La1 Sm1 Np1'
_cell_length_a 5.320
_cell_length_b 5.320
_cell_length_c 5.320
_cell_angle_alpha 60.00
_cell_angle_beta 60.00
_cell_angle_gamma 60.00
_space_group_name_H-M_alt 'P 1'
_space_group_IT_number 1
loop_
_space_group_symop_operation_xyz
'x,y,z'
loop_
_atom_site_label
_atom_site_type_symbol
_atom_site_fract_x
_atom_site_fract_y
_atom_site_fract_z
La1 La 0.500 0.500 0.500
Np1 Np 0.250 0.250 0.250
Sm1 Sm 0.000 0.000 0.000

=====

3.
# PBE GdDyTm2In2, relaxed
# **Symmetry**: P-3m1
# **Theoretical density**: 8850 kg/m3
# **Raw total energy**: -4.296 eV per atom
data_GdDyTm2In2
_chemical_formula_sum 'Gd1 Dy1 Tm2 In2'
_cell_length_a 5.358
_cell_length_b 5.358
_cell_length_c 6.697
_cell_angle_alpha 90.00
_cell_angle_beta 90.00
_cell_angle_gamma 120.00
_space_group_name_H-M_alt 'P 1'
_space_group_IT_number 1
loop_
_space_group_symop_operation_xyz
'x,y,z'
loop_
_atom_site_label
_atom_site_type_symbol
_atom_site_fract_x
_atom_site_fract_y
_atom_site_fract_z
In1 In 0.333 0.667 0.250
Tm1 Tm 0.333 0.667 0.750
Gd1 Gd 0.000 0.000 0.000
Dy1 Dy 0.000 0.000 0.500
In2 In 0.667 0.333 0.750
Tm2 Tm 0.667 0.333 0.250

=====

4.
# PBE MgCdSO, relaxed
# **Symmetry**: Pnma
# **Theoretical density**: 4434 kg/m3
# **Raw total energy**: -4.276 eV per atom
# **Excess energy over the best structure of this formula in the dataset**: 107.6 meV/atom
data_MgCdSO
_chemical_formula_sum 'Mg4 Cd4 S4 O4'
_cell_length_a 5.744
_cell_length_b 3.696
_cell_length_c 13.040
_cell_angle_alpha 90.00
_cell_angle_beta 90.00
_cell_angle_gamma 90.00
_space_group_name_H-M_alt 'P 1'
_space_group_IT_number 1
loop_
_space_group_symop_operation_xyz
'x,y,z'
loop_
_atom_site_label
_atom_site_type_symbol
_atom_site_fract_x
_atom_site_fract_y
_atom_site_fract_z
Cd1 Cd 0.277 0.250 0.584
S1 S 0.264 0.750 0.424
O1 O 0.699 0.750 0.817
S2 S 0.236 0.250 0.924
O2 O 0.199 0.750 0.683
O3 O 0.801 0.250 0.317
Mg1 Mg 0.638 0.250 0.188
Mg2 Mg 0.138 0.250 0.312
Mg3 Mg 0.362 0.750 0.812
S3 S 0.764 0.750 0.076
Cd2 Cd 0.223 0.750 0.084
S4 S 0.736 0.250 0.576
Cd3 Cd 0.777 0.250 0.916
Mg4 Mg 0.862 0.750 0.688
O4 O 0.301 0.250 0.183
Cd4 Cd 0.723 0.750 0.416

=====

5.
# PBE Cu5Ag, relaxed
# **DFT formation energy**: 0.063 eV per atom
# **Symmetry**: C2/m
# **Theoretical density**: 9175 kg/m3
# **Raw total energy**: -3.505 eV per atom
data_Cu5Ag
_chemical_formula_sum 'Cu5 Ag1'
_cell_length_a 4.530
_cell_length_b 4.530
_cell_length_c 7.292
_cell_angle_alpha 112.95
_cell_angle_beta 112.95
_cell_angle_gamma 34.32
_space_group_name_H-M_alt 'P 1'
_space_group_IT_number 1
loop_
_space_group_symop_operation_xyz
'x,y,z'
loop_
_atom_site_label
_atom_site_type_symbol
_atom_site_fract_x
_atom_site_fract_y
_atom_site_fract_z
Cu1 Cu 0.831 0.831 0.654
Cu2 Cu 0.169 0.169 0.346
Ag1 Ag 0.500 0.500 0.000
Cu3 Cu 0.167 0.167 0.817
Cu4 Cu 0.500 0.500 0.500
Cu5 Cu 0.833 0.833 0.183

=====

6.
# PBE NiBPdAu, relaxed
# **Symmetry**: F-43m
# **Theoretical density**: 11816 kg/m3
# **Raw total energy**: -4.585 eV per atom
# **Excess energy over the best structure of this formula in the dataset**: 100.5 meV/atom
data_NiBPdAu
_chemical_formula_sum 'Ni1 B1 Pd1 Au1'
_cell_length_a 4.200
_cell_length_b 4.200
_cell_length_c 4.200
_cell_angle_alpha 60.00
_cell_angle_beta 60.00
_cell_angle_gamma 60.00
_space_group_name_H-M_alt 'P 1'
_space_group_IT_number 1
loop_
_space_group_symop_operation_xyz
'x,y,z'
loop_
_atom_site_label
_atom_site_type_symbol
_atom_site_fract_x
_atom_site_fract_y
_atom_site_fract_z
Ni1 Ni 0.750 0.750 0.750
Pd1 Pd 0.250 0.250 0.250
B1 B 0.000 0.000 0.000
Au1 Au 0.500 0.500 0.500

=====

7.
# PBE Dy4Lu3Te2Pd2, relaxed
# **Symmetry**: Imm2
# **Theoretical density**: 9341 kg/m3
# **Raw total energy**: -5.249 eV per atom
# **Excess energy over the best structure of this formula in the dataset**: 13.8 meV/atom
data_Dy4Lu3Te2Pd2
_chemical_formula_sum 'Dy4 Lu3 Te2 Pd2'
_cell_length_a 9.357
_cell_length_b 9.357
_cell_length_c 9.357
_cell_angle_alpha 155.86
_cell_angle_beta 67.07
_cell_angle_gamma 118.49
_space_group_name_H-M_alt 'P 1'
_space_group_IT_number 1
loop_
_space_group_symop_operation_xyz
'x,y,z'
loop_
_atom_site_label
_atom_site_type_symbol
_atom_site_fract_x
_atom_site_fract_y
_atom_site_fract_z
Lu1 Lu 0.048 0.417 0.631
Pd1 Pd 0.671 0.931 0.739
Dy1 Dy 0.409 0.267 0.143
Dy2 Dy 0.808 0.627 0.182
Lu2 Lu 0.787 0.417 0.369
Te1 Te 0.158 0.658 0.500
Dy3 Dy 0.124 0.267 0.857
Lu3 Lu 0.502 0.002 0.500
Te2 Te 0.770 0.770 0.000
Dy4 Dy 0.445 0.627 0.818
Pd2 Pd 0.192 0.931 0.261

=====

8.
# PBE PmTaGa, relaxed
# **Symmetry**: F-43m
# **Theoretical density**: 9137 kg/m3
# **Raw total energy**: -6.181 eV per atom
# **Excess energy over the best structure of this formula in the dataset**: 0.0 meV/atom
data_PmTaGa
_chemical_formula_sum 'Pm1 Ta1 Ga1'
_cell_length_a 4.668
_cell_length_b 4.668
_cell_length_c 4.668
_cell_angle_alpha 60.00
_cell_angle_beta 60.00
_cell_angle_gamma 60.00
_space_group_name_H-M_alt 'P 1'
_space_group_IT_number 1
loop_
_space_group_symop_operation_xyz
'x,y,z'
loop_
_atom_site_label
_atom_site_type_symbol
_atom_site_fract_x
_atom_site_fract_y
_atom_site_fract_z
Pm1 Pm 0.250 0.250 0.250
Ta1 Ta 0.750 0.750 0.750
Ga1 Ga 0.000 0.000 0.000